# 1
Material: NaGeSbTe3
Method: DFT, PBE
State: optimized geometry

Cell: 9.303 4.429 10.816 Å, 90.00 100.54 90.00°
Sites, in units of the cell vectors:
Na 0.181 0.250 0.208
Na 0.819 0.750 0.792
Ge 0.120 0.250 0.613
Ge 0.880 0.750 0.387
Sb 0.325 0.750 0.888
Sb 0.675 0.250 0.112
Te 0.105 0.250 0.900
Te 0.178 0.750 0.453
Te 0.428 0.750 0.149
Te 0.572 0.250 0.851
Te 0.822 0.250 0.547
Te 0.895 0.750 0.100

SG = P2_1/m, No. 11
electronic total energy = -3.489 eV/atom

=====

# 2
Material: NaGeSbTe2
Method: DFT, PBE
State: optimized geometry

Cell: 5.532 5.532 5.254 Å, 90.00 90.00 90.00°
Sites, in units of the cell vectors:
Na 0.000 0.000 0.000
Ge 0.500 0.500 0.500
Sb 0.000 0.000 0.500
Te 0.000 0.500 0.000
Te 0.500 0.000 0.000

SG = P4/mmm, No. 123
electronic total energy = -2.497 eV/atom
distance to the lowest polymorph of the same formula = 610.4 meV per atom

=====

# 3
Material: NaGeSb2Te
Method: DFT, PBE
State: optimized geometry

Cell: 5.319 5.319 5.570 Å, 90.00 90.00 90.00°
Sites, in units of the cell vectors:
Na 0.000 0.000 0.000
Ge 0.500 0.500 0.500
Sb 0.000 0.500 0.000
Sb 0.500 0.000 0.000
Te 0.000 0.000 0.500

SG = P4/mmm, No. 123
electronic total energy = -2.599 eV/atom
distance to the lowest polymorph of the same formula = 579.9 meV per atom

=====

# 4
Material: Na2GeSbTe5
Method: DFT, PBE
State: optimized geometry

Cell: 10.476 10.476 14.056 Å, 90.00 90.00 157.66°
Sites, in units of the cell vectors:
Na 0.109 0.891 0.500
Na 0.121 0.879 0.150
Na 0.879 0.121 0.650
Na 0.891 0.109 0.000
Ge 0.435 0.565 0.263
Ge 0.565 0.435 0.763
Sb 0.222 0.778 0.879
Sb 0.778 0.222 0.379
Te 0.041 0.959 0.883
Te 0.269 0.731 0.533
Te 0.309 0.691 0.216
Te 0.354 0.646 0.830
Te 0.498 0.502 0.102
Te 0.502 0.498 0.602
Te 0.646 0.354 0.330
Te 0.691 0.309 0.716
Te 0.731 0.269 0.033
Te 0.959 0.041 0.383

SG = Cmc2_1, No. 36
electronic total energy = -3.349 eV/atom

=====

| no. | formation energy without anion corrections (eV/atom) |
| --- | --- |
| 1 | -0.2416 |
| 2 | 0.7714 |
| 3 | 0.8652 |
| 4 | -0.3395 |